Entry 1:
Li4AcTl2, relaxed, DFT PBE; polymorph energy (0 for the lowest one) = 27.4 meV per atom; symmetry = R-3m, No. 166; E_form = -215 meV per atom; magnetic moment = 0.000 μB/f.u.; total DFT energy (no corrections) = -2.5718 eV per atom; calculated volume = 24.45 Å³/atom
1.0
4.789 0.000 0.000
2.395 4.148 0.000
2.395 1.383 8.617
Tl Ac Li
2 1 4
Cartesian
2.395 1.383 2.137
7.184 4.148 6.479
0.000 0.000 0.000
7.184 4.148 3.640
2.395 1.383 4.977
4.789 2.765 5.858
4.789 2.765 2.759


Entry 2:
LiAc2Tl4, relaxed, DFT PBE; polymorph energy (0 for the lowest one) = 0.0 meV per atom; symmetry = I4/mmm, No. 139; E_form = -203 meV per atom; magnetic moment = 0.000 μB/f.u.; total DFT energy (no corrections) = -3.0021 eV per atom; calculated volume = 31.53 Å³/atom
1.0
-4.210 -2.547 -1.205
2.373 -2.037 -3.985
3.498 -4.288 7.495
Tl Ac Li
4 2 1
Cartesian
0.817 -2.084 1.552
0.844 -6.788 0.754
-2.105 -1.274 -0.602
1.187 -1.019 -1.992
-0.163 -4.219 -1.160
1.824 -4.654 3.466
0.000 0.000 0.000


Entry 3:
Li6AcTl12, relaxed, DFT PBE; symmetry = R-3m, No. 166; E_form = -100 meV per atom; magnetic moment = 0.000 μB/f.u.; total DFT energy (no corrections) = -2.4148 eV per atom; calculated volume = 26.08 Å³/atom
1.0
-5.657 6.041 -0.241
-3.848 -6.673 -3.036
1.080 -1.615 8.048
Tl Li Ac
12 6 1
Cartesian
-4.905 3.743 3.456
-6.792 1.807 -0.788
-6.099 -3.060 -1.858
-4.653 -1.728 4.852
-2.511 0.775 2.757
-2.326 0.812 6.629
-5.914 -3.023 2.015
-1.633 -4.055 5.559
-3.772 -0.519 -0.080
-2.048 -2.479 2.041
-3.520 -5.991 1.316
-6.377 0.231 2.730
-4.801 2.101 1.176
-3.991 -3.593 -0.076
-4.434 1.346 4.847
-3.624 -4.348 3.595
-1.783 -1.328 4.888
-6.642 -0.919 -0.117
0.000 0.000 0.000